VASP calculation (PBE-GGA) on an optimized crystal structure of Ta2InF11.

Summary:
The calculation puts the density of states at the Fermi level at 0.00 states/eV/f.u. As for the total magnetization: 0.00 μB/f.u. The energy is -6.37 eV/atom. The uncorrected formation energy is -42.15 eV per formula unit.

Lattice parameters (Å, degrees): 8.1800 10.4559 12.3836 90.00 90.00 90.00
Space group Ibam (No. 72)
Unique sites:
Ta 0.1066 0.1834 0.0000
In 0.0000 0.5000 0.2500
F 0.0000 0.0000 0.0000
F 0.1014 0.3158 0.1069
F 0.1295 0.2071 0.5000
F 0.2303 0.0986 0.1095


VASP calculation (PBE-GGA) on an optimized crystal structure of TaInF3.

Summary:
The calculation puts the density of states at the Fermi level at 2.43 states/eV/f.u. As for the total magnetization: 2.74 μB/f.u. The energy is -5.61 eV/atom. The uncorrected formation energy is -7.85 eV per formula unit.

Lattice parameters (Å, degrees): 4.3671 4.3671 4.3671 90.00 90.00 90.00
Space group Pm-3m (No. 221)
Unique sites:
Ta 0.0000 0.0000 0.0000
In 0.5000 0.5000 0.5000
F 0.0000 0.0000 0.5000


VASP calculation (PBE-GGA) on an optimized crystal structure of TaInF3.

Summary:
The calculation puts the density of states at the Fermi level at 10.03 states/eV/f.u. As for the total magnetization: 3.78 μB/f.u. The energy is -4.59 eV/atom. The uncorrected formation energy is -2.74 eV per formula unit.

Lattice parameters (Å, degrees): 4.4568 4.4568 4.4568 90.00 90.00 90.00
Space group Pm-3m (No. 221)
Unique sites:
Ta 0.0000 0.0000 0.0000
In 0.5000 0.5000 0.5000
F 0.0000 0.5000 0.5000


VASP calculation (PBE-GGA) on an optimized crystal structure of Ta2InF2.

Summary:
The calculation puts the density of states at the Fermi level at 1.94 states/eV/f.u. As for the total magnetization: 0.00 μB/f.u. The energy is -6.91 eV/atom. The uncorrected formation energy is -4.37 eV per formula unit.

Lattice parameters (Å, degrees): 3.5089 3.5089 12.2029 90.00 90.00 90.00
Space group I4/mmm (No. 139)
Unique sites:
Ta 0.0000 0.0000 0.1178
In 0.0000 0.0000 0.5000
F 0.0000 0.5000 0.2500


VASP calculation (PBE-GGA) on an optimized crystal structure of TaInTe2F.

Summary:
The calculation puts the density of states at the Fermi level at 2.69 states/eV/f.u. As for the total magnetization: 0.00 μB/f.u. The energy is -5.23 eV/atom. The uncorrected formation energy is -3.42 eV per formula unit.

Lattice parameters (Å, degrees): 5.7283 5.7283 4.1539 90.00 90.00 90.00
Space group P4/mmm (No. 123)
Unique sites:
Ta 0.0000 0.0000 0.0000
In 0.5000 0.5000 0.5000
Te 0.0000 0.5000 0.0000
F 0.0000 0.0000 0.5000


VASP calculation (PBE-GGA) on an optimized crystal structure of TaTiIn2F.

Summary:
The calculation puts the density of states at the Fermi level at 3.85 states/eV/f.u. As for the total magnetization: 0.00 μB/f.u. The energy is -5.66 eV/atom. The uncorrected formation energy is -1.19 eV per formula unit.

Lattice parameters (Å, degrees): 4.7734 4.7734 4.0216 90.00 90.00 90.00
Space group P4/mmm (No. 123)
Unique sites:
Ta 0.0000 0.0000 0.0000
Ti 0.5000 0.5000 0.0000
In 0.0000 0.5000 0.5000
F 0.5000 0.5000 0.5000